No. 1
{"formula": "Ba4BeIr", "functional": "SCAN", "state": "PBEsol geometry", "cell": [[-3.6099, -2.3080, -5.0062], [2.9480, -1.9700, -5.5541], [0.2025, -6.4063, -1.5291]], "species": ["Ba", "Ba", "Ba", "Ba", "Be", "Ir"], "frac_coords": [[0.3743, 0.3743, 0.3743], [0.3743, 0.3743, 0.8773], [0.8773, 0.3743, 0.3743], [0.3743, 0.8773, 0.3743], [0.7500, 0.7500, 0.7500], [0.0000, 0.0000, 0.0000]], "density_g_cm3": 6.160, "e_form_ev_per_atom": 1.2450, "spacegroup": "F-43m (216)"}

---

No. 2
{"formula": "BaLaBeIr2", "functional": "SCAN", "state": "PBEsol geometry", "cell": [[-4.3157, 1.3364, -1.9721], [1.3347, -2.0236, -4.2923], [-2.4317, -5.2890, 1.7373]], "species": ["Be", "Ir", "Ir", "Ba", "La"], "frac_coords": [[0.5000, 0.5000, 0.5000], [0.0000, 0.5000, 0.0000], [0.5000, 0.0000, 0.0000], [0.0000, 0.0000, 0.5000], [0.0000, 0.0000, 0.0000]], "density_g_cm3": 7.533, "e_form_ev_per_atom": 1.5417, "spacegroup": "P4/mmm (123)"}

---

No. 3
{"formula": "BaBeNb2Ir", "functional": "SCAN", "state": "PBEsol geometry", "cell": [[-0.6294, -0.3072, 4.8925], [-0.9562, -4.9121, -0.4314], [4.8893, -1.0015, 0.5661]], "species": ["Be", "Nb", "Nb", "Ir", "Ba"], "frac_coords": [[0.5000, 0.5000, 0.5000], [0.0000, 0.0000, 0.5000], [0.0000, 0.5000, 0.0000], [0.5000, 0.0000, 0.0000], [0.0000, 0.0000, 0.0000]], "density_g_cm3": 6.983, "e_form_ev_per_atom": 3.0686, "spacegroup": "P4/mmm (123)"}

---

No. 4
{"formula": "BaBe2IrRu", "functional": "SCAN", "state": "PBEsol geometry", "cell": [[-3.9039, 1.9863, -0.7776], [-2.1266, -3.4978, 1.7417], [0.1807, 2.0651, 4.3681]], "species": ["Ru", "Ir", "Ba", "Be", "Be"], "frac_coords": [[0.0000, 0.0000, 0.5000], [0.0000, 0.0000, 0.0000], [0.5000, 0.5000, 0.5000], [0.0000, 0.5000, 0.0000], [0.5000, 0.0000, 0.0000]], "density_g_cm3": 7.786, "e_form_ev_per_atom": 0.2780, "spacegroup": "P4/mmm (123)"}

---

No. 5
{"formula": "KBaBe2", "functional": "SCAN", "state": "PBEsol geometry", "cell": [[-2.6201, 3.1330, -1.0301], [-1.2192, 0.4963, -4.0011], [-8.3938, -4.2495, -0.1864]], "species": ["Be", "Be", "K", "Ba"], "frac_coords": [[0.2553, 0.2553, 0.2340], [0.7447, 0.7447, 0.7660], [0.5000, 0.5000, 0.5000], [0.0000, 0.0000, 0.0000]], "density_g_cm3": 2.312, "e_form_ev_per_atom": 1.0754, "spacegroup": "R-3m (166)"}

---

No. 6
{"formula": "KBaBe", "functional": "SCAN", "state": "PBEsol geometry", "cell": [[4.5069, 0.0000, 0.0000], [-2.2534, 3.9031, 0.0000], [0.0000, 0.0000, 8.1038]], "species": ["Be", "K", "Ba"], "frac_coords": [[0.3333, 0.6667, 0.6813], [0.6667, 0.3333, 0.4164], [0.0000, 0.0000, 0.9023]], "density_g_cm3": 2.160, "e_form_ev_per_atom": 0.6711, "spacegroup": "P3m1 (156)"}

---

No. 7
{"formula": "KBa3Be", "functional": "SCAN", "state": "PBEsol geometry", "cell": [[-4.2247, -4.5827, 1.9292], [-1.2009, -1.5161, -6.2314], [4.8250, -4.3899, 0.1382]], "species": ["Be", "K", "Ba", "Ba", "Ba"], "frac_coords": [[0.5000, 0.5000, 0.5000], [0.0000, 0.0000, 0.0000], [0.0000, 0.5000, 0.0000], [0.0000, 0.0000, 0.5000], [0.5000, 0.0000, 0.0000]], "density_g_cm3": 2.751, "e_form_ev_per_atom": 1.1534, "spacegroup": "Pm-3m (221)"}

---

No. 8
{"formula": "Ba2LaBe", "functional": "SCAN", "state": "PBEsol geometry", "cell": [[4.9594, 0.0000, 0.0000], [0.0000, 4.9594, 0.0000], [-2.4797, -2.4797, 5.4218]], "species": ["Be", "Ba", "Ba", "La"], "frac_coords": [[0.5000, 0.5000, 0.0000], [0.7500, 0.2500, 0.5000], [0.2500, 0.7500, 0.5000], [0.0000, 0.0000, 0.0000]], "density_g_cm3": 5.262, "e_form_ev_per_atom": 0.5587, "spacegroup": "I4/mmm (139)"}

---

No. 9
{"formula": "BaLa3Be", "functional": "SCAN", "state": "PBEsol geometry", "cell": [[-1.5989, -3.3599, 4.2622], [1.6698, -4.5324, -2.9465], [5.1640, 0.4253, 2.2724]], "species": ["Be", "Ba", "La", "La", "La"], "frac_coords": [[0.0000, 0.0000, 0.0000], [0.5000, 0.5000, 0.5000], [0.0000, 0.5000, 0.0000], [0.0000, 0.0000, 0.5000], [0.5000, 0.0000, 0.0000]], "density_g_cm3": 5.162, "e_form_ev_per_atom": 0.2633, "spacegroup": "Pm-3m (221)"}

---

No. 10
{"formula": "BaLi2Be", "functional": "SCAN", "state": "PBEsol geometry", "cell": [[4.4330, 0.0000, 0.0000], [0.0000, 4.4330, 0.0000], [0.0000, 0.0000, 5.5806]], "species": ["Be", "Ba", "Li", "Li"], "frac_coords": [[0.0000, 0.0000, 0.5000], [0.5000, 0.5000, 0.5000], [0.0000, 0.5000, 0.0000], [0.5000, 0.0000, 0.0000]], "density_g_cm3": 2.426, "e_form_ev_per_atom": 0.5312, "spacegroup": "P4/mmm (123)"}

---

No. 11
{"formula": "Ba2LiBe", "functional": "SCAN", "state": "PBEsol geometry", "cell": [[-2.2857, -2.4099, 2.1746], [4.0466, 0.4081, 1.0817], [-3.9383, 8.2811, 5.0378]], "species": ["Ba", "Ba", "Be", "Li"], "frac_coords": [[0.7336, 0.4672, 0.7078], [0.2664, 0.5328, 0.2922], [0.0000, 0.0000, 0.5000], [0.5000, 0.0000, 0.0000]], "density_g_cm3": 3.184, "e_form_ev_per_atom": 0.4556, "spacegroup": "C2/m (12)"}

---

No. 12
{"formula": "BaLiBeSi2", "functional": "SCAN", "state": "PBEsol geometry", "cell": [[-0.5805, 4.0988, -2.0102], [-0.5071, -2.0718, -4.0778], [-5.0452, -0.3257, 0.7929]], "species": ["Be", "Si", "Si", "Ba", "Li"], "frac_coords": [[0.5000, 0.5000, 0.5000], [0.0000, 0.5000, 0.0000], [0.5000, 0.0000, 0.0000], [0.0000, 0.0000, 0.5000], [0.0000, 0.0000, 0.0000]], "density_g_cm3": 3.209, "total_energy_ev_per_atom": -12.41, "spacegroup": "P4/mmm (123)"}